w | ## La2ErAg (PBE)

Data for La2ErAg after structural relaxation.

Lattice parameters (Å, degrees): 3.723 5.722 5.722 90.00 90.00 90.00
Sites, in units of the cell vectors:
La 0.000 0.000 0.500
La 0.000 0.500 0.000
Er 0.500 0.500 0.500
Ag 0.500 0.000 0.000

Summary:
space group	No. 123
total magnetization	0.00	μB per formula unit
crystal system	tetragonal
Fermi-level density of states	4.8	states/eV per cell


x | ## La2ErAg (PBE)

Data for La2ErAg after structural relaxation.

Lattice parameters (Å, degrees): 3.698 3.698 10.880 80.21 80.21 60.00
Sites, in units of the cell vectors:
Er 0.499 0.499 0.502
La 0.257 0.257 0.230
La 0.077 0.077 0.770
Ag 0.667 0.667 0.998

Summary:
space group	No. 160
total magnetization	0.00	μB per formula unit
crystal system	trigonal
Fermi-level density of states	4.6	states/eV per cell


Most stable pick: w. Distance to second place: 4.3 kJ/mol of atoms.


w | ## LaErAg4 (PBE)

Data for LaErAg4 after structural relaxation.

Lattice parameters (Å, degrees): 3.969 3.961 9.799 90.01 90.01 90.02
Last column: magnetic moment on the atom in μB.
Sites, in units of the cell vectors:
Ag 0.001 0.497 0.262  0.01
Ag 0.001 0.497 0.734  0.01
Ag 0.501 0.997 0.263  0.01
Ag 0.501 0.997 0.734  0.01
La 0.502 0.497 0.998  0.19
Er 0.001 0.997 0.498  0.04

Summary:
space group	No. 123
total magnetization	0.56	μB per formula unit
crystal system	tetragonal
Fermi-level density of states	3.8	states/eV per cell


x | ## LaErAg4 (PBE)

Data for LaErAg4 after structural relaxation.

Lattice parameters (Å, degrees): 5.772 5.772 5.772 60.00 60.00 60.00
Sites, in units of the cell vectors:
La 0.250 0.250 0.250
Er 0.000 0.000 0.000
Ag 0.626 0.626 0.626
Ag 0.626 0.123 0.626
Ag 0.626 0.626 0.123
Ag 0.123 0.626 0.626

Summary:
space group	No. 216
total magnetization	0.00	μB per formula unit
crystal system	cubic
Fermi-level density of states	4.8	states/eV per cell


y | ## LaErAg4 (PBE)

Data for LaErAg4 after structural relaxation.

Lattice parameters (Å, degrees): 5.383 5.389 5.459 60.42 90.00 90.01
Sites, in units of the cell vectors:
Ag 0.001 0.834 0.831
Ag 0.501 0.681 0.137
Ag 0.001 0.169 0.160
Ag 0.501 0.323 0.854
Er 0.501 0.002 0.495
La 0.001 0.502 0.495

Summary:
space group	No. 65
total magnetization	0.00	μB per formula unit
crystal system	orthorhombic
Fermi-level density of states	2.8	states/eV per cell


Most stable pick: y. Distance to second place: 9.6 kJ/mol of atoms.


w | ## LaPmErAg (PBE)

Data for LaPmErAg after structural relaxation.

Lattice parameters (Å, degrees): 5.463 5.463 5.463 60.00 60.00 60.00
Last column: magnetic moment on the atom in μB.
Sites, in units of the cell vectors:
La 0.500 0.500 0.500  -0.28
Ag 0.750 0.750 0.750  -0.03
Pm 0.250 0.250 0.250  -0.58
Er 0.000 0.000 0.000  -0.52

Summary:
space group	No. 216
total magnetization	2.17	μB per formula unit
crystal system	cubic
Fermi-level density of states	5.3	states/eV per cell


x | ## LaPmErAg (PBE)

Data for LaPmErAg after structural relaxation.

Lattice parameters (Å, degrees): 3.682 3.682 8.768 90.00 90.00 90.00
Sites, in units of the cell vectors:
Ag 0.000 0.000 0.557
Er 0.500 0.500 0.369
Pm 0.500 0.500 0.780
La 0.000 0.000 0.078

Summary:
space group	No. 99
total magnetization	0.00	μB per formula unit
crystal system	tetragonal
Fermi-level density of states	5.7	states/eV per cell


Most stable pick: x. Distance to second place: 21.1 kJ/mol of atoms.


w | ## LaPrErAg (PBE)

Data for LaPrErAg after structural relaxation.

Lattice parameters (Å, degrees): 3.684 3.684 8.965 90.00 90.00 90.00
Sites, in units of the cell vectors:
Er 0.500 0.500 0.367
Ag 0.000 0.000 0.547
La 0.500 0.500 0.785
Pr 0.000 0.000 0.086

Summary:
space group	No. 99
total magnetization	0.00	μB per formula unit
crystal system	tetragonal
Fermi-level density of states	5.0	states/eV per cell


x | ## LaPrErAg (PBE)

Data for LaPrErAg after structural relaxation.

Lattice parameters (Å, degrees): 5.536 5.536 5.536 60.00 60.00 60.00
Sites, in units of the cell vectors:
Ag 0.250 0.250 0.250
Er 0.750 0.750 0.750
Pr 0.000 0.000 0.000
La 0.500 0.500 0.500

Summary:
space group	No. 216
total magnetization	0.00	μB per formula unit
crystal system	cubic
Fermi-level density of states	3.2	states/eV per cell


Most stable pick: w. Distance to second place: 16.7 kJ/mol of atoms.


w | ## LaSmErAg (PBE)

Data for LaSmErAg after structural relaxation.

Lattice parameters (Å, degrees): 5.497 5.497 5.497 60.00 60.00 60.00
Sites, in units of the cell vectors:
La 0.750 0.750 0.750
Sm 0.250 0.250 0.250
Er 0.500 0.500 0.500
Ag 0.000 0.000 0.000

Summary:
space group	No. 216
total magnetization	0.00	μB per formula unit
crystal system	cubic
Fermi-level density of states	3.5	states/eV per cell


x | ## LaSmErAg (PBE)

Data for LaSmErAg after structural relaxation.

Lattice parameters (Å, degrees): 3.675 3.675 8.750 90.00 90.00 90.00
Sites, in units of the cell vectors:
Sm 0.500 0.500 0.780
Er 0.500 0.500 0.369
Ag 0.000 0.000 0.560
La 0.000 0.000 0.077

Summary:
space group	No. 99
total magnetization	0.00	μB per formula unit
crystal system	tetragonal
Fermi-level density of states	5.7	states/eV per cell


Most stable pick: x. Distance to second place: 16.6 kJ/mol of atoms.


w | ## LaErTmAg (PBE)

Data for LaErTmAg after structural relaxation.

Lattice parameters (Å, degrees): 5.442 5.442 5.442 60.00 60.00 60.00
Sites, in units of the cell vectors:
La 0.500 0.500 0.500
Tm 0.750 0.750 0.750
Ag 0.250 0.250 0.250
Er 0.000 0.000 0.000

Summary:
space group	No. 216
total magnetization	0.00	μB per formula unit
crystal system	cubic
Fermi-level density of states	4.2	states/eV per cell


x | ## LaErTmAg (PBE)

Data for LaErTmAg after structural relaxation.

Lattice parameters (Å, degrees): 3.623 3.623 8.712 90.00 90.00 90.00
Sites, in units of the cell vectors:
Ag 0.000 0.000 0.569
Er 0.500 0.500 0.774
La 0.000 0.000 0.072
Tm 0.500 0.500 0.369

Summary:
space group	No. 99
total magnetization	0.00	μB per formula unit
crystal system	tetragonal
Fermi-level density of states	5.5	states/eV per cell


Most stable pick: x. Distance to second place: 18.0 kJ/mol of atoms.


w | ## LaErZnAg (PBE)

Data for LaErZnAg after structural relaxation.

Lattice parameters (Å, degrees): 3.647 3.647 7.489 90.00 90.00 90.00
Sites, in units of the cell vectors:
Ag 0.000 0.000 0.825
Zn 0.000 0.000 0.383
Er 0.500 0.500 0.602
La 0.500 0.500 0.117

Summary:
space group	No. 99
total magnetization	0.04	μB per formula unit
crystal system	tetragonal
Fermi-level density of states	3.9	states/eV per cell


x | ## LaErZnAg (PBE)

Data for LaErZnAg after structural relaxation.

Lattice parameters (Å, degrees): 5.224 5.224 5.224 60.00 60.00 60.00
Sites, in units of the cell vectors:
La 0.500 0.500 0.500
Zn 0.250 0.250 0.250
Ag 0.750 0.750 0.750
Er 0.000 0.000 0.000

Summary:
space group	No. 216
total magnetization	0.00	μB per formula unit
crystal system	cubic
Fermi-level density of states	2.5	states/eV per cell


Most stable pick: w. Distance to second place: 2.4 kJ/mol of atoms.


w | ## LiEr3Ag2 (PBE)

Data for LiEr3Ag2 after structural relaxation.

Lattice parameters (Å, degrees): 3.613 3.613 10.911 90.00 90.00 90.00
Sites, in units of the cell vectors:
Er 0.000 0.000 0.328
Er 0.000 0.000 0.000
Er 0.000 0.000 0.672
Ag 0.500 0.500 0.169
Ag 0.500 0.500 0.831
Li 0.500 0.500 0.500

Summary:
space group	No. 123
total magnetization	0.00	μB per formula unit
crystal system	tetragonal
Fermi-level density of states	3.0	states/eV per cell


x | ## LiEr3Ag2 (PBE)

Data for LiEr3Ag2 after structural relaxation.

Lattice parameters (Å, degrees): 3.634 5.083 8.076 108.34 90.00 90.00
Sites, in units of the cell vectors:
Er 0.500 0.500 0.000
Er 0.500 0.830 0.659
Er 0.500 0.170 0.341
Li 0.000 0.000 0.000
Ag 0.000 0.660 0.320
Ag 0.000 0.340 0.680

Summary:
space group	No. 65
total magnetization	0.00	μB per formula unit
crystal system	orthorhombic
Fermi-level density of states	3.5	states/eV per cell


Most stable pick: x. Distance to second place: 1.2 kJ/mol of atoms.


w | ## LiYErAg (PBE)

Data for LiYErAg after structural relaxation.

Lattice parameters (Å, degrees): 5.144 5.144 5.144 60.00 60.00 60.00
Sites, in units of the cell vectors:
Y 0.750 0.750 0.750
Li 0.500 0.500 0.500
Ag 0.000 0.000 0.000
Er 0.250 0.250 0.250

Summary:
space group	No. 216
total magnetization	0.00	μB per formula unit
crystal system	cubic
Fermi-level density of states	3.6	states/eV per cell


x | ## LiYErAg (PBE)

Data for LiYErAg after structural relaxation.

Lattice parameters (Å, degrees): 3.675 5.092 5.138 90.00 90.00 90.00
Sites, in units of the cell vectors:
Y 0.500 0.000 0.500
Li 0.000 0.500 0.500
Ag 0.000 0.000 0.000
Er 0.500 0.500 0.000

Summary:
space group	No. 47
total magnetization	0.00	μB per formula unit
crystal system	orthorhombic
Fermi-level density of states	3.1	states/eV per cell


Most stable pick: x. Distance to second place: 1.0 kJ/mol of atoms.


w | ## Er2LuAg (PBE)

Data for Er2LuAg after structural relaxation.

Lattice parameters (Å, degrees): 3.772 5.290 5.290 90.00 90.00 90.00
Sites, in units of the cell vectors:
Lu 0.500 0.500 0.500
Ag 0.500 0.000 0.000
Er 0.000 0.500 0.000
Er 0.000 0.000 0.500

Summary:
space group	No. 123
total magnetization	0.00	μB per formula unit
crystal system	tetragonal
Fermi-level density of states	4.7	states/eV per cell


x | ## Er2LuAg (PBE)

Data for Er2LuAg after structural relaxation.

Lattice parameters (Å, degrees): 3.511 3.511 8.734 90.00 90.00 90.00
Sites, in units of the cell vectors:
Er 0.000 0.000 0.219
Er 0.000 0.000 0.781
Ag 0.500 0.500 0.000
Lu 0.500 0.500 0.500

Summary:
space group	No. 123
total magnetization	0.00	μB per formula unit
crystal system	tetragonal
Fermi-level density of states	4.3	states/eV per cell


y | ## Er2LuAg (PBE)

Data for Er2LuAg after structural relaxation.

Lattice parameters (Å, degrees): 5.301 5.301 5.301 60.00 60.00 60.00
Sites, in units of the cell vectors:
Lu 0.500 0.500 0.500
Ag 0.000 0.000 0.000
Er 0.750 0.750 0.750
Er 0.250 0.250 0.250

Summary:
space group	No. 225
total magnetization	0.00	μB per formula unit
crystal system	cubic
Fermi-level density of states	3.1	states/eV per cell


Most stable pick: x. Distance to second place: 11.8 kJ/mol of atoms.


w | ## ErLuAg (PBE)

Data for ErLuAg after structural relaxation.

Lattice parameters (Å, degrees): 3.537 3.537 6.653 105.42 105.42 90.00
Last column: magnetic moment on the atom in μB.
Sites, in units of the cell vectors:
Er 0.318 0.318 0.635  0.36
Ag 0.664 0.664 0.328  0.02
Lu 0.019 0.019 0.037  0.27

Summary:
space group	No. 107
total magnetization	0.89	μB per formula unit
crystal system	tetragonal
Fermi-level density of states	3.5	states/eV per cell


x | ## ErLuAg (PBE)

Data for ErLuAg after structural relaxation.

Lattice parameters (Å, degrees): 3.579 4.991 4.991 120.00 90.00 90.00
Sites, in units of the cell vectors:
Er 0.608 0.667 0.333
Ag 0.318 0.333 0.667
Lu 0.074 0.000 0.000

Summary:
space group	No. 156
total magnetization	0.00	μB per formula unit
crystal system	trigonal
Fermi-level density of states	2.4	states/eV per cell


Most stable pick: w. Distance to second place: 12.9 kJ/mol of atoms.


w | ## ErLu2Ag (PBE)

Data for ErLu2Ag after structural relaxation.

Lattice parameters (Å, degrees): 3.352 3.352 11.596 81.69 81.69 60.00
Sites, in units of the cell vectors:
Lu 0.097 0.097 0.708
Lu 0.903 0.903 0.292
Ag 0.500 0.500 0.500
Er 0.000 0.000 0.000

Summary:
space group	No. 166
total magnetization	0.00	μB per formula unit
crystal system	trigonal
Fermi-level density of states	6.1	states/eV per cell


x | ## ErLu2Ag (PBE)

Data for ErLu2Ag after structural relaxation.

Lattice parameters (Å, degrees): 4.729 4.687 4.687 90.00 90.00 90.00
Sites, in units of the cell vectors:
Er 0.500 0.500 0.500
Lu 0.000 0.000 0.500
Lu 0.000 0.500 0.000
Ag 0.500 0.000 0.000

Summary:
space group	No. 123
total magnetization	0.00	μB per formula unit
crystal system	tetragonal
Fermi-level density of states	6.1	states/eV per cell


Most stable pick: x. Distance to second place: 19.4 kJ/mol of atoms.